# 1
{"formula": "TeP2Br", "functional": "PBE", "state": "relaxed", "cell": [[6.910, 0.000, 0.000], [0.000, 6.910, 0.000], [0.000, 0.000, 6.910]], "species": ["Te", "Te", "Te", "Te", "P", "P", "P", "P", "P", "P", "P", "P", "Br", "Br", "Br", "Br"], "frac_coords": [[0.000, 0.000, 0.000], [0.000, 0.500, 0.500], [0.500, 0.000, 0.500], [0.500, 0.500, 0.000], [0.000, 0.000, 0.500], [0.000, 0.500, 0.000], [0.250, 0.250, 0.250], [0.250, 0.750, 0.750], [0.500, 0.000, 0.000], [0.500, 0.500, 0.500], [0.750, 0.250, 0.750], [0.750, 0.750, 0.250], [0.250, 0.250, 0.750], [0.250, 0.750, 0.250], [0.750, 0.250, 0.250], [0.750, 0.750, 0.750]], "formation_energy_uncorrected_ev_per_atom": 0.8581, "de_polymorph_ev_per_atom": 0.827, "crystal_system": "cubic", "dos_at_fermi_per_ev_fu": 3.3, "e_tot_ev_per_cell": -48.81, "spacegroup": "No. 216"}

# 2
{"formula": "TeP3Br", "functional": "PBE", "state": "relaxed", "cell": [[5.158, 0.000, 0.000], [0.000, 5.158, 0.000], [0.000, 0.000, 5.158]], "species": ["Te", "P", "P", "P", "Br"], "frac_coords": [[0.000, 0.000, 0.000], [0.000, 0.000, 0.500], [0.000, 0.500, 0.000], [0.500, 0.000, 0.000], [0.500, 0.500, 0.500]], "formation_energy_uncorrected_ev_per_atom": 1.3493, "de_polymorph_ev_per_atom": 0.000, "crystal_system": "cubic", "dos_at_fermi_per_ev_fu": 5.3, "e_tot_ev_per_cell": -14.30, "spacegroup": "No. 221"}

# 3
{"formula": "TeP2Br", "functional": "PBE", "state": "relaxed", "cell": [[6.908, 0.000, 0.000], [0.000, 6.908, 0.000], [0.000, 0.000, 6.908]], "species": ["Te", "Te", "Te", "Te", "P", "P", "P", "P", "P", "P", "P", "P", "Br", "Br", "Br", "Br"], "frac_coords": [[0.000, 0.000, 0.000], [0.000, 0.500, 0.500], [0.500, 0.000, 0.500], [0.500, 0.500, 0.000], [0.250, 0.250, 0.250], [0.250, 0.250, 0.750], [0.250, 0.750, 0.250], [0.250, 0.750, 0.750], [0.750, 0.250, 0.250], [0.750, 0.250, 0.750], [0.750, 0.750, 0.250], [0.750, 0.750, 0.750], [0.000, 0.000, 0.500], [0.000, 0.500, 0.000], [0.500, 0.000, 0.000], [0.500, 0.500, 0.500]], "formation_energy_uncorrected_ev_per_atom": 0.7995, "de_polymorph_ev_per_atom": 0.768, "crystal_system": "cubic", "dos_at_fermi_per_ev_fu": 3.6, "e_tot_ev_per_cell": -49.74, "spacegroup": "No. 225"}

# 4
{"formula": "Te4PBr", "functional": "PBE", "state": "relaxed", "cell": [[0.000, 4.434, 4.434], [4.434, 0.000, 4.434], [4.434, 4.434, 0.000]], "species": ["Te", "Te", "Te", "Te", "P", "Br"], "frac_coords": [[0.376, 0.376, 0.376], [0.376, 0.376, 0.871], [0.376, 0.871, 0.376], [0.871, 0.376, 0.376], [0.750, 0.750, 0.750], [0.000, 0.000, 0.000]], "formation_energy_uncorrected_ev_per_atom": 0.6699, "crystal_system": "cubic", "dos_at_fermi_per_ev_fu": 6.2, "e_tot_ev_per_cell": -15.63, "spacegroup": "No. 216"}

# 5
{"formula": "TeP2Br8", "functional": "PBE", "state": "relaxed", "cell": [[8.195, 0.000, 0.000], [-4.009, 7.239, 0.000], [-0.651, -3.109, 8.760]], "species": ["Te", "P", "P", "Br", "Br", "Br", "Br", "Br", "Br", "Br", "Br"], "frac_coords": [[0.000, 0.000, 0.000], [0.079, 0.654, 0.402], [0.921, 0.346, 0.598], [0.193, 0.520, 0.780], [0.213, 0.952, 0.375], [0.263, 0.545, 0.300], [0.338, 0.131, 0.935], [0.662, 0.869, 0.065], [0.737, 0.455, 0.700], [0.787, 0.048, 0.625], [0.807, 0.480, 0.220]], "formation_energy_uncorrected_ev_per_atom": -0.2284, "crystal_system": "triclinic", "e_tot_ev_per_cell": -29.86, "spacegroup": "No. 2"}

# 6
{"formula": "TeP2Br", "functional": "PBE", "state": "relaxed", "cell": [[3.556, 0.000, 0.000], [0.000, 3.556, 0.000], [0.000, 0.000, 8.144]], "species": ["Te", "P", "P", "Br"], "frac_coords": [[0.000, 0.000, 0.000], [0.000, 0.000, 0.700], [0.500, 0.500, 0.673], [0.500, 0.500, 0.395]], "formation_energy_uncorrected_ev_per_atom": 0.0682, "de_polymorph_ev_per_atom": 0.037, "crystal_system": "tetragonal", "dos_at_fermi_per_ev_fu": 1.4, "e_tot_ev_per_cell": -15.36, "spacegroup": "No. 99"}

# 7
{"formula": "TeP2Br", "functional": "PBE", "state": "relaxed", "cell": [[4.944, 0.000, 0.000], [0.000, 3.922, 0.000], [-1.758, 0.000, 5.548]], "species": ["Te", "P", "P", "Br"], "frac_coords": [[0.000, 0.000, 0.000], [0.419, 0.500, 0.145], [0.581, 0.500, 0.855], [0.000, 0.000, 0.500]], "formation_energy_uncorrected_ev_per_atom": 0.2057, "de_polymorph_ev_per_atom": 0.174, "crystal_system": "monoclinic", "dos_at_fermi_per_ev_fu": 1.8, "e_tot_ev_per_cell": -14.81, "spacegroup": "No. 10"}

# 8
{"formula": "TePBr4", "functional": "PBE", "state": "relaxed", "cell": [[0.000, 4.440, 4.440], [4.440, 0.000, 4.440], [4.440, 4.440, 0.000]], "species": ["Te", "P", "Br", "Br", "Br", "Br"], "frac_coords": [[0.000, 0.000, 0.000], [0.250, 0.250, 0.250], [0.126, 0.625, 0.625], [0.625, 0.126, 0.625], [0.625, 0.625, 0.126], [0.625, 0.625, 0.625]], "formation_energy_uncorrected_ev_per_atom": 1.0664, "crystal_system": "cubic", "dos_at_fermi_per_ev_fu": 6.0, "e_tot_ev_per_cell": -8.84, "spacegroup": "No. 216"}